A plane-wave DFT calculation with PBE was carried out for an optimized crystal structure of PmB4.

DOS(E_F) = 0.1236 states/eV per atom
formation energy = -0.5773 eV/atom
VASP energy = -6.8693 eV per atom
energy relative to the lowest polymorph listed for this composition = 0.000 eV per atom

```
PmB4
1.0
7.208 0.000 0.000
0.000 7.208 0.000
0.000 0.000 4.096
Pm B
4 16
direct
0.183 0.317 0.000
0.317 0.817 0.000
0.683 0.183 0.000
0.817 0.683 0.000
0.000 0.000 0.205
0.000 0.000 0.795
0.039 0.825 0.500
0.088 0.588 0.500
0.175 0.039 0.500
0.325 0.539 0.500
0.412 0.088 0.500
0.461 0.325 0.500
0.500 0.500 0.205
0.500 0.500 0.795
0.539 0.675 0.500
0.588 0.912 0.500
0.675 0.461 0.500
0.825 0.961 0.500
0.912 0.412 0.500
0.961 0.175 0.500
```